A plane-wave DFT calculation with GGA-PBE was carried out for a relaxed structure of CsSnHg.

Cell lengths 5.653, 5.653, 5.653 Å; angles 60.00, 60.00, 60.00 degrees
Sites, in units of the cell vectors:
1 Cs 0.000 0.000 0.000
2 Sn 0.500 0.500 0.500
3 Hg 0.250 0.250 0.250

- E (eV/atom) = -1.575

***

A plane-wave DFT calculation with GGA-PBE was carried out for a relaxed structure of NaScSnPt.

Cell lengths 4.842, 4.842, 4.842 Å; angles 60.00, 60.00, 60.00 degrees
Sites, in units of the cell vectors:
1 Na 0.000 0.000 0.000
2 Sc 0.500 0.500 0.500
3 Sn 0.250 0.250 0.250
4 Pt 0.750 0.750 0.750

- E (eV/atom) = -4.891

***

A plane-wave DFT calculation with GGA-PBE was carried out for a relaxed structure of Nd2Co17.

Cell lengths 6.286, 6.286, 6.286 Å; angles 83.25, 83.25, 83.25 degrees
Sites, in units of the cell vectors:
1 Nd 0.154 0.154 0.154
2 Nd 0.846 0.846 0.846
3 Co 0.000 0.500 0.500
4 Co 0.156 0.156 0.647
5 Co 0.156 0.647 0.156
6 Co 0.215 0.500 0.785
7 Co 0.215 0.785 0.500
8 Co 0.353 0.844 0.844
9 Co 0.404 0.404 0.404
10 Co 0.500 0.000 0.500
11 Co 0.500 0.215 0.785
12 Co 0.500 0.500 0.000
13 Co 0.500 0.785 0.215
14 Co 0.596 0.596 0.596
15 Co 0.647 0.156 0.156
16 Co 0.785 0.215 0.500
17 Co 0.785 0.500 0.215
18 Co 0.844 0.353 0.844
19 Co 0.844 0.844 0.353

- E_form (meV/atom) = 140.1

***

A plane-wave DFT calculation with GGA-PBE was carried out for a relaxed structure of OsSe.

Cell lengths 3.888, 3.888, 3.888 Å; angles 60.00, 60.00, 60.00 degrees
Sites, in units of the cell vectors:
1 Os 0.000 0.000 0.000
2 Se 0.750 0.750 0.750

- E (eV/atom) = -6.691

***

A plane-wave DFT calculation with GGA-PBE was carried out for a relaxed structure of Gd3Ho3Te2Os.

Cell lengths 8.346, 8.346, 4.032 Å; angles 90.00, 90.00, 120.00 degrees
Sites, in units of the cell vectors:
1 Gd 0.000 0.242 0.000
2 Gd 0.242 0.000 0.000
3 Gd 0.758 0.758 0.000
4 Ho 0.000 0.609 0.500
5 Ho 0.391 0.391 0.500
6 Ho 0.609 0.000 0.500
7 Te 0.333 0.667 0.000
8 Te 0.667 0.333 0.000
9 Os 0.000 0.000 0.500

- E (eV/atom) = -5.707

***

A plane-wave DFT calculation with GGA-PBE was carried out for a relaxed structure of GePdAu2.

Cell lengths 4.613, 4.613, 4.613 Å; angles 60.00, 60.00, 60.00 degrees
Sites, in units of the cell vectors:
1 Ge 0.000 0.000 0.000
2 Pd 0.250 0.250 0.250
3 Au 0.500 0.500 0.500
4 Au 0.750 0.750 0.750

- E (eV/atom) = -4.152

***

A plane-wave DFT calculation with GGA-PBE was carried out for a relaxed structure of PmAgSeO.

Cell lengths 5.717, 9.396, 5.718 Å; angles 90.00, 90.00, 90.00 degrees
Sites, in units of the cell vectors:
1 Pm 0.250 0.124 0.000
2 Pm 0.250 0.876 0.500
3 Pm 0.750 0.124 0.500
4 Pm 0.750 0.876 0.000
5 Ag 0.000 0.500 0.250
6 Ag 0.000 0.500 0.750
7 Ag 0.500 0.500 0.250
8 Ag 0.500 0.500 0.750
9 Se 0.249 0.296 0.500
10 Se 0.249 0.704 0.000
11 Se 0.751 0.296 0.000
12 Se 0.751 0.704 0.500
13 O 0.000 0.000 0.250
14 O 0.000 0.000 0.750
15 O 0.500 0.000 0.250
16 O 0.500 0.000 0.750

- E (eV/atom) = -5.933

***

A plane-wave DFT calculation with GGA-PBE was carried out for a relaxed structure of PrErAu.

Cell lengths 7.054, 5.085, 9.312 Å; angles 90.00, 90.00, 90.00 degrees
Sites, in units of the cell vectors:
1 Pr 0.153 0.250 0.087
2 Pr 0.347 0.750 0.587
3 Pr 0.653 0.250 0.413
4 Pr 0.847 0.750 0.913
5 Er 0.006 0.250 0.674
6 Er 0.494 0.750 0.174
7 Er 0.506 0.250 0.826
8 Er 0.994 0.750 0.326
9 Au 0.220 0.250 0.405
10 Au 0.280 0.750 0.905
11 Au 0.720 0.250 0.095
12 Au 0.780 0.750 0.595

- E_form (meV/atom) = -562.5

***

Here are the calculated calculated density numbers, same order: 5.88, 7.90, 8.80, 10.76, 9.64, 13.70, 7.52, 10.05 (g/cm3).